Density functional theory data (GGA-PBE) for a relaxed structure of LaZn2Si.

The value obtained for the total magnetization is 0.0 μB/f.u. The calculation puts the volume at 92 Å³ per cell. Its density of states at the Fermi level is 1.90 states/eV/cell. The value obtained for the uncorrected formation energy is -244.7 meV per atom.

It has space group P2/m (No. 10), with a = 4.330 Å, b = 4.348 Å, c = 4.867 Å, α = 90.00°, β = 90.26° and γ = 90.00°. The distinct sites, in fractional coordinates, are La at (0.000, 0.000, 0.000), Zn at (0.494, 0.500, 0.753) and Si at (0.500, 0.000, 0.500).

***

Density functional theory data (GGA-PBE) for a relaxed structure of La2ZnSi.

The value obtained for the total magnetization is 0.0 μB/f.u. The calculation puts the volume at 213 Å³ per cell. Its density of states at the Fermi level is 7.77 states/eV/cell. The value obtained for the uncorrected formation energy is -515.2 meV per atom.

It has space group P2_1/m (No. 11), with a = 6.144 Å, b = 4.178 Å, c = 8.801 Å, α = 90.00°, β = 109.29° and γ = 90.00°. The distinct sites, in fractional coordinates, are La at (0.212, 0.250, 0.420), La at (0.287, 0.750, 0.063), Zn at (0.167, 0.250, 0.776) and Si at (0.358, 0.750, 0.708).

***

Density functional theory data (GGA-PBE) for a relaxed structure of LaZn2Si.

The value obtained for the total magnetization is 0.0 μB/f.u. The calculation puts the volume at 169 Å³ per cell. Its density of states at the Fermi level is 3.67 states/eV/cell. The value obtained for the uncorrected formation energy is -185.0 meV per atom.

It has space group Immm (No. 71), with a = 4.385 Å, b = 4.400 Å, c = 8.774 Å, α = 90.00°, β = 90.00° and γ = 90.00°. The distinct sites, in fractional coordinates, are La at (0.000, 0.000, 0.000), Zn at (0.000, 0.500, 0.249) and Si at (0.000, 0.000, 0.500).

***

Density functional theory data (GGA-PBE) for a relaxed structure of LaZn2Si.

The value obtained for the total magnetization is 0.0 μB/f.u. The calculation puts the volume at 81 Å³ per cell. Its density of states at the Fermi level is 2.35 states/eV/cell. The value obtained for the uncorrected formation energy is -151.0 meV per atom.

It has space group Pmm2 (No. 25), with a = 3.167 Å, b = 3.728 Å, c = 6.829 Å, α = 90.00°, β = 90.00° and γ = 90.00°. The distinct sites, in fractional coordinates, are La at (0.000, 0.000, 0.000), Zn at (0.000, 0.000, 0.489), Zn at (0.500, 0.500, 0.678) and Si at (0.500, 0.500, 0.301).

***

Density functional theory data (GGA-PBE) for a relaxed structure of La2ZnSi3.

The value obtained for the total magnetization is 0.0 μB/f.u. The calculation puts the volume at 1047 Å³ per cell. Its density of states at the Fermi level is 12.27 states/eV/cell. The value obtained for the uncorrected formation energy is -699.7 meV per atom.

It has space group Fmmm (No. 69), with a = 8.254 Å, b = 8.861 Å, c = 14.311 Å, α = 90.00°, β = 90.00° and γ = 90.00°. The distinct sites, in fractional coordinates, are La at (0.000, 0.244, 0.000), La at (0.250, 0.250, 0.250), Zn at (0.000, 0.000, 0.334), Si at (0.000, 0.000, 0.167) and Si at (0.249, 0.000, 0.083).

***

Density functional theory data (GGA-PBE) for a relaxed structure of La3ZnSi.

The value obtained for the total magnetization is 0.0 μB/f.u. The calculation puts the volume at 185 Å³ per cell. Its density of states at the Fermi level is 12.39 states/eV/cell. The value obtained for the uncorrected formation energy is 15.9 meV per atom.

It has space group Pm-3m (No. 221), with a = 5.695 Å, b = 5.695 Å, c = 5.695 Å, α = 90.00°, β = 90.00° and γ = 90.00°. The distinct sites, in fractional coordinates, are La at (0.000, 0.000, 0.500), Zn at (0.500, 0.500, 0.500) and Si at (0.000, 0.000, 0.000).

***

Density functional theory data (GGA-PBE) for a relaxed structure of LaZnSi2.

The value obtained for the total magnetization is 0.0 μB/f.u. The calculation puts the volume at 165 Å³ per cell. Its density of states at the Fermi level is 5.70 states/eV/cell. The value obtained for the uncorrected formation energy is -90.3 meV per atom.

It has space group I-4m2 (No. 119), with a = 4.266 Å, b = 4.266 Å, c = 9.073 Å, α = 90.00°, β = 90.00° and γ = 90.00°. The distinct sites, in fractional coordinates, are La at (0.000, 0.000, 0.000), Zn at (0.000, 0.500, 0.250), Si at (0.000, 0.000, 0.500) and Si at (0.000, 0.500, 0.750).

***

Density functional theory data (GGA-PBE) for a relaxed structure of LaZn2Si.

The value obtained for the total magnetization is 0.0 μB/f.u. The calculation puts the volume at 84 Å³ per cell. Its density of states at the Fermi level is 2.60 states/eV/cell. The value obtained for the uncorrected formation energy is -197.6 meV per atom.

It has space group Pm (No. 6), with a = 3.321 Å, b = 4.077 Å, c = 6.411 Å, α = 90.00°, β = 104.34° and γ = 90.00°. The distinct sites, in fractional coordinates, are La at (0.000, 0.000, 0.000), Zn at (0.309, 0.500, 0.626), Zn at (0.728, 0.000, 0.481) and Si at (0.619, 0.500, 0.255).

***

Density functional theory data (GGA-PBE) for a relaxed structure of La3ZnSi3.

The value obtained for the total magnetization is 0.6 μB/f.u. The calculation puts the volume at 341 Å³ per cell. Its density of states at the Fermi level is 11.08 states/eV/cell. The value obtained for the uncorrected formation energy is -681.3 meV per atom.

It has space group Imm2 (No. 44), with a = 4.085 Å, b = 4.464 Å, c = 18.718 Å, α = 90.00°, β = 90.00° and γ = 90.00°. The distinct sites, in fractional coordinates, are La at (0.000, 0.000, 0.000), La at (0.000, 0.000, 0.370), La at (0.000, 0.500, 0.690), Zn at (0.000, 0.500, 0.120), Si at (0.000, 0.000, 0.548), Si at (0.000, 0.000, 0.824) and Si at (0.000, 0.500, 0.250).

***

Density functional theory data (GGA-PBE) for a relaxed structure of LaZnSi2.

The value obtained for the total magnetization is 0.0 μB/f.u. The calculation puts the volume at 370 Å³ per cell. Its density of states at the Fermi level is 8.60 states/eV/cell. The value obtained for the uncorrected formation energy is -215.9 meV per atom.

It has space group I-42d (No. 122), with a = 4.724 Å, b = 4.724 Å, c = 16.578 Å, α = 90.00°, β = 90.00° and γ = 90.00°. The distinct sites, in fractional coordinates, are La at (0.000, 0.000, 0.000), Zn at (0.000, 0.000, 0.500) and Si at (0.097, 0.250, 0.625).

***

Density functional theory data (GGA-PBE) for a relaxed structure of LaZnSi2.

The value obtained for the total magnetization is 0.0 μB/f.u. The calculation puts the volume at 80 Å³ per cell. Its density of states at the Fermi level is 1.98 states/eV/cell. The value obtained for the uncorrected formation energy is -143.3 meV per atom.

It has space group P4mm (No. 99), with a = 3.468 Å, b = 3.468 Å, c = 6.653 Å, α = 90.00°, β = 90.00° and γ = 90.00°. The distinct sites, in fractional coordinates, are La at (0.000, 0.000, 0.000), Zn at (0.500, 0.500, 0.681), Si at (0.000, 0.000, 0.463) and Si at (0.500, 0.500, 0.311).

***

Density functional theory data (GGA-PBE) for a relaxed structure of La3Zn3Si2.

The value obtained for the total magnetization is 0.0 μB/f.u. The calculation puts the volume at 772 Å³ per cell. Its density of states at the Fermi level is 25.02 states/eV/cell. The value obtained for the uncorrected formation energy is -530.4 meV per atom.

It has space group Cmcm (No. 63), with a = 4.212 Å, b = 11.559 Å, c = 15.847 Å, α = 90.00°, β = 90.00° and γ = 90.00°. The distinct sites, in fractional coordinates, are La at (0.000, 0.060, 0.250), La at (0.000, 0.353, 0.091), Zn at (0.000, 0.077, 0.053), Zn at (0.000, 0.220, 0.750) and Si at (0.000, 0.350, 0.616).

***

What is the total magnetization in the eleventh record?
0.0 μB/f.u.